(1)
A geometry-optimized Rb3PuZn2F9 structure. Source: Alexandria via LeMat-Bulk, functional PBE.

a = 6.2106 Å, b = 6.2106 Å, c = 7.7959 Å
α = 90.00°, β = 90.00°, γ = 120.00°
Space group P-3m1 (No. 164)
Inequivalent atoms, fractional coordinates:
Rb: 0.0000 0.0000 0.0000
Rb: 0.3333 0.6667 0.6982
Pu: 0.0000 0.0000 0.5000
Zn: 0.3333 0.6667 0.1520
F: 0.0000 0.5000 0.0000
F: 0.1744 0.3489 0.3186

Summary:
* magnetic moment: 5.51 μB/cell
* calculated total energy: -5.107 eV per atom
* uncorrected formation energy: -2.6652 eV per atom
* volume: 17.36 A^3/atom

***

(2)
A geometry-optimized NdDy2Ni structure. Source: Alexandria via LeMat-Bulk, functional PBE.

a = 3.8390 Å, b = 3.8390 Å, c = 26.8616 Å
α = 90.00°, β = 90.00°, γ = 120.00°
Space group R3m (No. 160, hexagonal axes)
Inequivalent atoms, fractional coordinates:
Nd: 0.0000 0.0000 0.0000
Dy: 0.0000 0.0000 0.5552
Dy: 0.0000 0.0000 0.7735
Ni: 0.0000 0.0000 0.1637

Summary:
* E_form: -0.12 eV per atom
* magnetic moment: 0.00 μB/cell
* calculated total energy: -5.056 eV per atom
* volume: 28.57 A^3/atom